Entry 1:
# Y4GaCoC2

An optimized crystal structure of Y4GaCoC2 (PBE, OQMD).

Properties
total moment: 1.35 μB per cell
ρ: 5234 kg/m3
electronic total energy: -6.9590 eV per atom
calculated volume: 161.3 Å³/f.u.

Unit cell a=3.5758 b=3.5758 c=14.5623 alpha=90.00 beta=90.00 gamma=120.00
Space group P-6m2 (No. 187)
Unique sites:
Y  0.0000  0.0000  0.1386 x2
Y  0.6667  0.3333  0.3269 x2
Ga  0.0000  0.0000  0.5000 x1
Co  0.6667  0.3333  0.0000 x1
C  0.3333  0.6667  0.2371 x2

***

Entry 2:
# Cu

An optimized crystal structure of Cu (PBE, OQMD).

Properties
formation energy from the elements: 0.003 eV/f.u.
ρ: 8997 kg/m3
electronic total energy: -3.7142 eV per atom
calculated volume: 11.7 Å³/f.u.
relative energy among the computed polymorphs: 0 kJ/mol of formula units

Unit cell a=2.5278 b=2.5840 c=3.5912 alpha=90.00 beta=90.00 gamma=90.00
Space group Immm (No. 71)
Unique sites:
Cu  0.0000  0.0000  0.0000 x2

***

Entry 3:
# Na10ReSn12

An optimized crystal structure of Na10ReSn12 (PBE, OQMD).

Properties
total moment: 2.00 μB per cell
ρ: 4512 kg/m3
electronic total energy: -3.1998 eV per atom
calculated volume: 677.5 Å³/f.u.

Unit cell a=11.0656 b=11.0656 c=11.0656 alpha=90.00 beta=90.00 gamma=90.00
Space group I-43m (No. 217)
Unique sites:
Na  0.0000  0.2500  0.5000 x12
Na  0.1900  0.1900  0.8100 x8
Re  0.0000  0.0000  0.0000 x2
Sn  0.0905  0.0905  0.2764 x24

***

Entry 4:
# Pr2Te

An optimized crystal structure of Pr2Te (PBE, OQMD).

Properties
total moment: 0.05 μB per cell
ρ: 7003 kg/m3
electronic total energy: -4.5033 eV per atom
calculated volume: 97.1 Å³/f.u.

Unit cell a=9.1921 b=9.1921 c=9.1921 alpha=90.00 beta=90.00 gamma=90.00
Space group Fd-3m (No. 227, origin choice 2)
Unique sites:
Pr  0.0000  0.0000  0.0000 x16
Te  0.1250  0.1250  0.6250 x8

***

Entry 5:
# Nd4Br4O3

An optimized crystal structure of Nd4Br4O3 (PBE, OQMD).

Properties
total moment: 0.00 μB per cell
ρ: 5788 kg/m3
electronic total energy: -6.2670 eV per atom
calculated volume: 271.0 Å³/f.u.

Unit cell a=3.9318 b=7.8899 c=8.7359 alpha=90.00 beta=90.00 gamma=90.00
Space group Pmm2 (No. 25)
Unique sites:
Nd  0.0000  0.0000  0.0000 x1
Nd  0.0000  0.5000  0.0099 x1
Nd  0.5000  0.2492  0.7189 x2
Br  0.0000  0.0000  0.5326 x1
Br  0.0000  0.5000  0.5414 x1
Br  0.5000  0.2482  0.1880 x2
O  0.0000  0.2589  0.8619 x2
O  0.5000  0.0000  0.8614 x1

***

Entry 6:
# Nd2DyAl3CoCu2

An optimized crystal structure of Nd2DyAl3CoCu2 (PBE, OQMD).

Properties
total moment: 0.18 μB per cell
ρ: 6695 kg/m3
electronic total energy: -4.8284 eV per atom
calculated volume: 178.1 Å³/f.u.

Unit cell a=4.1357 b=12.3305 c=6.9844 alpha=90.00 beta=90.00 gamma=90.00
Space group Amm2 (No. 38)
Unique sites:
Nd  0.0000  0.2054  0.0000 x4
Dy  0.0000  0.0000  0.6137 x2
Al  0.5000  0.0000  0.9808 x2
Al  0.5000  0.1108  0.3220 x4
Co  0.0000  0.0000  0.2145 x2
Cu  0.5000  0.1607  0.7031 x4

***

Entry 7:
# GdPbSO

An optimized crystal structure of GdPbSO (PBE, OQMD).

Properties
total moment: 0.00 μB per cell
ρ: 7929 kg/m3
electronic total energy: -6.1650 eV per atom
calculated volume: 86.4 Å³/f.u.
relative energy among the computed polymorphs: 5 kJ/mol of formula units

Unit cell a=6.0808 b=18.3229 c=6.2030 alpha=90.00 beta=90.00 gamma=90.00
Space group Pbca (No. 61)
Unique sites:
Gd  0.0339  0.2044  0.0314 x8
Pb  0.2222  0.5054  0.3609 x8
S  0.0433  0.6180  0.0862 x8
O  0.2273  0.7365  0.7485 x8

***

Entry 8:
# PaCdNO

An optimized crystal structure of PaCdNO (PBE, OQMD).

Properties
total moment: 2.25 μB per cell
ρ: 10203 kg/m3
electronic total energy: -6.7171 eV per atom
calculated volume: 60.8 Å³/f.u.
relative energy among the computed polymorphs: 22 kJ/mol of formula units

Unit cell a=5.0010 b=5.0010 c=4.8602 alpha=90.00 beta=90.00 gamma=90.00
Space group P4/nmm (No. 129, origin choice 2)
Unique sites:
Pa  0.2500  0.7500  0.0000 x2
Cd  0.2500  0.2500  0.4977 x2
N  0.2500  0.2500  0.9971 x2
O  0.2500  0.7500  0.5000 x2

***

Entry 9:
# SrHgTeO

An optimized crystal structure of SrHgTeO (PBE, OQMD).

Properties
ρ: 6538 kg/m3
electronic total energy: -3.2008 eV per atom
calculated volume: 109.7 Å³/f.u.
relative energy among the computed polymorphs: 236 kJ/mol of formula units

Unit cell a=4.3500 b=4.3500 c=13.3854 alpha=90.00 beta=90.00 gamma=120.00
Space group P6_3mc (No. 186)
Unique sites:
Sr  0.0000  0.0000  0.0000 x2
Hg  0.3333  0.6667  0.2770 x2
Te  0.3333  0.6667  0.6455 x2
O  0.0000  0.0000  0.3317 x2

***

Entry 10:
# Tm3P2O8

An optimized crystal structure of Tm3P2O8 (PBE, OQMD).

Properties
total moment: 0.01 μB per cell
ρ: 6797 kg/m3
electronic total energy: -7.4834 eV per atom
calculated volume: 170.2 Å³/f.u.

Unit cell a=5.1099 b=5.8290 c=6.2708 alpha=72.61 beta=81.34 gamma=73.20
Space group P-1 (No. 2)
Unique sites:
Tm  0.0000  0.0000  0.0000 x1
Tm  0.1888  0.2149  0.3832 x2
P  0.4101  0.3235  0.7888 x2
O  0.2288  0.5485  0.6329 x2
O  0.2389  0.2525  0.0140 x2
O  0.3178  0.6463  0.1627 x2
O  0.4481  0.1052  0.6786 x2

***

Entry 11:
# PuSeS

An optimized crystal structure of PuSeS (PBE, OQMD).

Properties
total moment: 16.00 μB per cell
ρ: 6555 kg/m3
electronic total energy: -8.5946 eV per atom
calculated volume: 89.9 Å³/f.u.
relative energy among the computed polymorphs: 30 kJ/mol of formula units

Unit cell a=4.0768 b=7.0516 c=12.5136 alpha=90.00 beta=90.00 gamma=90.00
Space group Pmn2_1 (No. 31)
Unique sites:
Pu  0.0000  0.0287  0.0000 x2
Pu  0.0000  0.4710  0.4984 x2
Se  0.0000  0.6968  0.8752 x2
Se  0.0000  0.8057  0.3759 x2
S  0.0000  0.1390  0.6013 x2
S  0.0000  0.3634  0.1006 x2

***

Entry 12:
# SmGeB

An optimized crystal structure of SmGeB (PBE, OQMD).

Properties
total moment: 0.01 μB per cell
ρ: 6975 kg/m3
electronic total energy: -5.2340 eV per atom
calculated volume: 55.7 Å³/f.u.
relative energy among the computed polymorphs: 0 kJ/mol of formula units

Unit cell a=6.0611 b=6.0611 c=6.0611 alpha=90.00 beta=90.00 gamma=90.00
Space group F-43m (No. 216)
Unique sites:
Sm  0.0000  0.0000  0.0000 x4
Ge  0.0000  0.0000  0.5000 x4
B  0.2500  0.2500  0.7500 x4

***

Entry 13:
# FeTeP

An optimized crystal structure of FeTeP (PBE, OQMD).

Properties
total moment: 1.20 μB per cell
ρ: 7021 kg/m3
electronic total energy: -5.8109 eV per atom
calculated volume: 50.7 Å³/f.u.
relative energy among the computed polymorphs: 0 kJ/mol of formula units

Unit cell a=3.3212 b=5.1218 c=5.9625 alpha=90.00 beta=90.00 gamma=90.00
Space group Pmn2_1 (No. 31)
Unique sites:
Fe  0.0000  0.2146  0.0000 x2
Te  0.0000  0.4336  0.6231 x2
P  0.0000  0.0389  0.3479 x2

***

Entry 14:
# HoTmGe2

An optimized crystal structure of HoTmGe2 (PBE, OQMD).

Properties
total moment: 0.01 μB per cell
ρ: 8978 kg/m3
electronic total energy: -5.4261 eV per atom
calculated volume: 88.6 Å³/f.u.
relative energy among the computed polymorphs: 0 kJ/mol of formula units

Unit cell a=3.9369 b=4.2332 c=10.6344 alpha=90.00 beta=90.00 gamma=90.00
Space group Amm2 (No. 38)
Unique sites:
Ho  0.0000  0.0000  0.0000 x2
Tm  0.5000  0.0000  0.7243 x2
Ge  0.0000  0.0000  0.2752 x2
Ge  0.5000  0.0000  0.4488 x2

***

Entry 15:
# LiLaZrPt

An optimized crystal structure of LiLaZrPt (PBE, OQMD).

Properties
total moment: 0.00 μB per cell
ρ: 8946 kg/m3
electronic total energy: -5.5049 eV per atom
calculated volume: 80.2 Å³/f.u.
relative energy among the computed polymorphs: 76 kJ/mol of formula units

Unit cell a=6.8459 b=6.8459 c=6.8459 alpha=90.00 beta=90.00 gamma=90.00
Space group F-43m (No. 216)
Unique sites:
Li  0.0000  0.0000  0.0000 x4
La  0.0000  0.0000  0.5000 x4
Zr  0.2500  0.2500  0.7500 x4
Pt  0.2500  0.2500  0.2500 x4

***

Entry 16:
# NdDy2Al3Si2Ir

An optimized crystal structure of NdDy2Al3Si2Ir (PBE, OQMD).

Properties
total moment: 0.00 μB per cell
ρ: 7391 kg/m3
electronic total energy: -5.8185 eV per atom
calculated volume: 179.4 Å³/f.u.

Unit cell a=4.2475 b=12.1228 c=6.9683 alpha=90.00 beta=90.00 gamma=90.00
Space group Amm2 (No. 38)
Unique sites:
Nd  0.0000  0.0000  0.0000 x2
Dy  0.0000  0.2074  0.6235 x4
Al  0.5000  0.0000  0.6474 x2
Al  0.5000  0.1166  0.3039 x4
Si  0.5000  0.1705  0.9170 x4
Ir  0.0000  0.0000  0.4254 x2

***

Entry 17:
# Y3Ho3CoTe2

An optimized crystal structure of Y3Ho3CoTe2 (PBE, OQMD).

Properties
total moment: 0.02 μB per cell
ρ: 7564 kg/m3
electronic total energy: -5.8527 eV per atom
calculated volume: 236.1 Å³/f.u.
relative energy among the computed polymorphs: 0 kJ/mol of formula units

Unit cell a=8.3372 b=8.3372 c=3.9229 alpha=90.00 beta=90.00 gamma=120.00
Space group P-62m (No. 189)
Unique sites:
Y  0.0000  0.6011  0.0000 x3
Ho  0.0000  0.2347  0.5000 x3
Co  0.0000  0.0000  0.0000 x1
Te  0.3333  0.6667  0.5000 x2

***

Entry 18:
# BaHgSeO

An optimized crystal structure of BaHgSeO (PBE, OQMD).

Properties
ρ: 6983 kg/m3
electronic total energy: -3.7775 eV per atom
calculated volume: 102.9 Å³/f.u.

Unit cell a=7.9652 b=3.9681 c=13.0269 alpha=90.00 beta=90.00 gamma=90.00
Space group Pnma (No. 62)
Unique sites:
Ba  0.0469  0.2500  0.2169 x4
Hg  0.1925  0.7500  0.4552 x4
Se  0.1659  0.2500  0.6167 x4
O  0.2412  0.7500  0.8688 x4

***

Entry 19:
# TbAlGa4Ir

An optimized crystal structure of TbAlGa4Ir (PBE, OQMD).

Properties
total moment: 0.00 μB per cell
ρ: 8408 kg/m3
electronic total energy: -4.7318 eV per atom
calculated volume: 129.8 Å³/f.u.

Unit cell a=4.3518 b=4.3518 c=6.8520 alpha=90.00 beta=90.00 gamma=90.00
Space group P4/mmm (No. 123)
Unique sites:
Tb  0.0000  0.0000  0.0000 x1
Al  0.5000  0.5000  0.0000 x1
Ga  0.0000  0.5000  0.3014 x4
Ir  0.0000  0.0000  0.5000 x1

***

Entry 20:
# DyY2B2Pd2N3

An optimized crystal structure of DyY2B2Pd2N3 (PBE, OQMD).

Properties
total moment: 0.03 μB per cell
ρ: 7608 kg/m3
electronic total energy: -7.7851 eV per atom
calculated volume: 134.6 Å³/f.u.

Unit cell a=3.6455 b=3.6455 c=20.2602 alpha=90.00 beta=90.00 gamma=90.00
Space group I4/mmm (No. 139)
Unique sites:
Dy  0.0000  0.0000  0.0000 x2
Y  0.0000  0.0000  0.3815 x4
B  0.0000  0.0000  0.1844 x4
Pd  0.0000  0.5000  0.2500 x4
N  0.0000  0.0000  0.1140 x4
N  0.0000  0.0000  0.5000 x2